# 1
PrEu2SbO6 | Alexandria | PBE | optimized geometry; energy relative to the elements, uncorrected = -235 kJ per mole of atoms; calculated volume = 15.8 Å³ per atom; DOS(E_F) = 0.00 states/eV per cell
1.0
-0.719 4.172 -4.356
-5.411 2.638 -0.816
-0.789 5.837 1.486
Eu O Sb Pr
2 6 1 1
Direct
0.750 0.750 0.750
0.250 0.250 0.250
0.732 0.268 0.732
0.268 0.732 0.732
0.268 0.268 0.732
0.732 0.268 0.268
0.732 0.732 0.268
0.268 0.732 0.268
0.500 0.500 0.500
0.000 0.000 0.000

=====

# 2
ThPa4Si4 | Alexandria | PBE | optimized geometry; energy relative to the elements, uncorrected = -14 kJ per mole of atoms; calculated volume = 24.6 Å³ per atom; DOS(E_F) = 28.63 states/eV per cell
1.0
5.819 0.000 0.000
0.000 8.732 0.000
0.000 0.000 8.732
Si Pa Th
8 8 2
Direct
0.852 0.706 0.136
0.852 0.294 0.864
0.148 0.136 0.294
0.148 0.864 0.706
0.648 0.206 0.636
0.352 0.364 0.206
0.352 0.636 0.794
0.648 0.794 0.364
0.656 0.119 0.319
0.844 0.381 0.181
0.156 0.181 0.619
0.156 0.819 0.381
0.656 0.881 0.681
0.344 0.681 0.119
0.844 0.619 0.819
0.344 0.319 0.881
0.500 0.500 0.500
0.000 0.000 0.000

=====

# 3
Cd2PAu | Alexandria | PBE | optimized geometry; ΔH_f (0 K) = -0.016 eV/atom; calculated volume = 22.4 Å³ per atom; DOS(E_F) = 1.44 states/eV per cell
1.0
4.766 0.000 0.169
0.005 5.850 0.005
2.097 0.183 6.491
P Cd Au
2 4 2
Direct
0.965 0.691 0.667
0.919 0.326 0.753
0.737 0.505 0.143
0.224 0.216 0.172
0.379 0.778 0.842
0.640 0.974 0.341
0.446 0.256 0.698
0.170 0.721 0.279

=====

# 4
LiEu2Sb | Alexandria | PBE | optimized geometry; energy relative to the elements, uncorrected = -58 kJ per mole of atoms; calculated volume = 29.5 Å³ per atom; DOS(E_F) = 15.84 states/eV per cell
1.0
-1.150 2.864 -3.211
1.816 -3.252 -3.551
-4.628 -2.226 -0.328
Eu Li Sb
2 1 1
Direct
0.000 0.000 0.500
0.000 0.500 0.000
0.500 0.000 0.000
0.500 0.500 0.500

=====

# 5
PmTeO4 | Alexandria | PBE | optimized geometry; energy relative to the elements, uncorrected = -159 kJ per mole of atoms; calculated volume = 14.9 Å³ per atom; DOS(E_F) = 2.66 states/eV per cell
1.0
3.170 0.000 1.103
1.585 5.169 0.552
-0.114 0.000 5.434
O Pm Te
4 1 1
Direct
0.680 0.277 0.783
0.537 0.783 0.723
0.740 0.723 0.217
0.043 0.217 0.277
0.250 0.500 0.500
0.500 0.000 0.000

=====

# 6
TmGa4Ag | Alexandria | PBE | optimized geometry; ΔH_f (0 K) = -0.199 eV/atom; calculated volume = 19.3 Å³ per atom; DOS(E_F) = 6.42 states/eV per cell
1.0
-3.684 0.452 -3.651
-1.669 -4.248 1.233
-3.051 5.953 7.473
Ag Ga Tm
2 8 2
Direct
0.500 0.000 0.500
0.000 0.500 0.500
0.653 0.152 0.803
0.421 0.421 0.343
0.921 0.921 0.343
0.153 0.652 0.803
0.079 0.079 0.657
0.347 0.848 0.197
0.579 0.579 0.657
0.847 0.348 0.197
0.750 0.750 0.000
0.250 0.250 0.000